LaCo2Se: relaxed, PBE.

```
LaCo2Se
1.0
-4.407 2.182 -0.526
-2.277 -4.352 0.583
2.860 2.650 3.043
Co La Se
2 1 1
Cartesian
-6.627 -2.152 0.056
-2.982 1.699 1.277
-3.331 -1.081 0.028
-0.911 -1.241 1.823
```

## Properties
raw formation energy = -0.197 eV per atom
total magnetic moment = 2.9 μB/cell
final energy = -5.85 eV/atom
symmetry = Imm2, No. 44

LaCo2Se: relaxed, PBE.

```
LaCo2Se
1.0
-2.005 -1.647 -3.015
-0.961 -3.171 2.372
-3.944 0.834 2.167
Co La Se
2 1 1
Cartesian
0.000 0.000 0.000
-2.974 -0.407 -0.424
-1.483 -2.409 -0.322
-2.452 -1.168 2.269
```

## Properties
raw formation energy = -0.027 eV per atom
total magnetic moment = 1.1 μB/cell
final energy = -5.68 eV/atom
symmetry = P2/m, No. 10

LaCoSe3: relaxed, PBE.

```
LaCoSe3
1.0
5.728 0.000 0.000
0.000 5.728 0.000
0.000 0.000 5.728
Co Se La
1 3 1
Cartesian
2.864 2.864 2.864
0.000 2.864 0.000
0.000 0.000 2.864
2.864 0.000 0.000
0.000 0.000 0.000
```

## Properties
raw formation energy = 0.353 eV per atom
total magnetic moment = 3.3 μB/cell
final energy = -4.14 eV/atom
ΔE to the lowest computed polymorph = 1194 meV/atom
symmetry = Pm-3m, No. 221

LaCo2Se: relaxed, PBE.

```
LaCo2Se
1.0
3.544 0.000 0.000
0.000 3.544 0.000
0.000 0.000 6.502
Co La Se
2 1 1
Cartesian
0.000 0.000 0.639
1.772 1.772 0.834
0.000 0.000 3.351
1.772 1.772 4.929
```

## Properties
raw formation energy = -0.124 eV per atom
total magnetic moment = 3.5 μB/cell
final energy = -5.78 eV/atom
symmetry = P4mm, No. 99

LaCo2Se: relaxed, PBE.

```
LaCo2Se
1.0
-3.056 -3.645 0.008
1.034 -3.965 2.415
-2.412 -1.072 3.957
Co La Se
2 1 1
Cartesian
0.000 0.000 0.000
-1.109 -2.171 1.595
-2.217 -4.341 3.190
-3.326 -6.512 4.786
```

## Properties
raw formation energy = 0.101 eV per atom
total magnetic moment = 3.1 μB/cell
final energy = -5.56 eV/atom
symmetry = F-43m, No. 216

LaCo2Se: relaxed, PBE.

```
LaCo2Se
1.0
-4.904 2.719 -0.709
-5.365 -1.328 -1.183
-5.023 0.271 2.578
Co La Se
2 1 1
Cartesian
-15.031 1.634 0.674
-4.610 0.501 0.207
-7.761 0.844 0.348
-10.826 1.177 0.486
```

## Properties
raw formation energy = -0.450 eV per atom
total magnetic moment = 2.4 μB/cell
final energy = -6.11 eV/atom
symmetry = R3m, No. 160

LaCo2Se: relaxed, PBE.

```
LaCo2Se
1.0
3.570 0.000 0.000
0.000 3.566 0.000
0.000 0.000 5.923
Co La Se
2 1 1
Cartesian
0.000 0.000 5.591
0.000 0.000 3.294
1.785 1.783 1.481
1.785 1.783 4.442
```

## Properties
raw formation energy = 0.112 eV per atom
total magnetic moment = 2.9 μB/cell
final energy = -5.54 eV/atom
symmetry = P4/mmm, No. 123

LaUCoSe4: relaxed, PBE.

```
LaUCoSe4
1.0
6.805 0.000 0.159
0.000 5.967 0.000
-2.464 0.000 7.874
La U Co Se
2 2 2 8
Cartesian
2.743 4.475 7.481
1.597 1.492 0.551
3.957 4.475 3.607
0.383 1.492 4.426
0.836 4.475 2.638
3.504 1.492 5.395
-1.705 3.031 5.850
6.046 0.047 2.182
6.046 2.936 2.182
-1.705 5.920 5.850
2.601 4.475 1.062
1.739 1.492 6.970
1.378 4.475 4.849
2.962 1.492 3.183
```

## Properties
raw formation energy = -1.159 eV per atom
total magnetic moment = 2.4 μB/cell
final energy = -6.48 eV/atom
symmetry = P2_1/m, No. 11

LaVCo2Se: relaxed, PBE.

```
LaVCo2Se
1.0
4.423 0.000 0.000
0.000 4.803 0.000
0.000 0.000 4.423
V Co Se La
1 2 1 1
Cartesian
0.000 0.000 0.000
0.000 0.000 2.212
2.212 0.000 0.000
0.000 2.401 0.000
2.212 2.401 2.212
```

## Properties
raw formation energy = -0.056 eV per atom
total magnetic moment = 0.7 μB/cell
final energy = -6.40 eV/atom
symmetry = P4/mmm, No. 123

LaCo2Si: relaxed, PBE.

```
LaCo2Si
1.0
4.004 0.003 0.101
1.999 3.469 0.101
1.872 1.083 5.273
Co La Si
2 1 1
Cartesian
6.000 3.470 0.296
1.991 1.151 0.465
3.938 2.278 2.738
5.886 3.404 4.915
```

## Properties
raw formation energy = -0.442 eV per atom
total magnetic moment = 2.1 μB/cell
final energy = -6.58 eV/atom
symmetry = R3m, No. 160